Density functional theory data (PBE-GGA) for a relaxed BS crystal.

abc: 5.295 3.057 7.921
angles: 90.00 90.67 90.00
Space group C2/m (No. 12)
Inequivalent atoms, fractional coordinates:
B: 0.002 0.000 0.108 x4
S: 0.170 0.500 0.214 x4

Results
E above lowest polymorph: 0.1 meV per atom
E_tot: -46.452 eV/cell
Density: 2.22 g cm⁻³
Volume: 16.02 Å³ per atom
E_form (uncorrected): -0.404 eV per atom



Density functional theory data (PBE-GGA) for a relaxed BS crystal.

abc: 8.164 2.951 8.145
angles: 90.00 117.62 90.00
Space group C2/m (No. 12)
Inequivalent atoms, fractional coordinates:
B: 0.095 0.000 0.104 x4
S: 0.216 0.500 0.235 x4

Results
E above lowest polymorph: 146.9 meV per atom
E_tot: -45.277 eV/cell
Density: 1.64 g cm⁻³
Volume: 21.73 Å³ per atom
E_form (uncorrected): -0.257 eV per atom



Density functional theory data (PBE-GGA) for a relaxed BS4 crystal.

abc: 4.170 4.170 4.170
angles: 90.00 90.00 90.00
Space group Pm-3m (No. 221)
Inequivalent atoms, fractional coordinates:
B: 0.000 0.000 0.000 x1
S: 0.000 0.000 0.500 x3
S: 0.500 0.500 0.500 x1

Results
E above lowest polymorph: 671.9 meV per atom
E_tot: -18.065 eV/cell
Density: 3.18 g cm⁻³
Volume: 14.51 Å³ per atom
E_form (uncorrected): 1.024 eV per atom



Density functional theory data (PBE-GGA) for a relaxed BS4 crystal.

abc: 5.940 6.641 7.346
angles: 90.00 119.65 90.00
Space group P2_1/c (No. 14)
Inequivalent atoms, fractional coordinates:
B: 0.000 0.000 0.000 x2
S: 0.164 0.002 0.271 x4
S: 0.231 0.501 0.326 x4

Results
E above lowest polymorph: 0.0 meV per atom
E_tot: -42.849 eV/cell
Density: 1.83 g cm⁻³
Volume: 25.18 Å³ per atom
E_form (uncorrected): 0.353 eV per atom



Density functional theory data (PBE-GGA) for a relaxed BSbS3 crystal.

abc: 5.015 5.015 5.015
angles: 90.00 90.00 90.00
Space group Pm-3m (No. 221)
Inequivalent atoms, fractional coordinates:
B: 0.000 0.000 0.000 x1
Sb: 0.500 0.500 0.500 x1
S: 0.000 0.500 0.500 x3

Results
E above lowest polymorph: 1549.6 meV per atom
E_tot: -16.417 eV/cell
Density: 3.01 g cm⁻³
Volume: 25.23 Å³ per atom
E_form (uncorrected): 1.353 eV per atom



Density functional theory data (PBE-GGA) for a relaxed BSbS3 crystal.

abc: 4.286 4.286 4.286
angles: 90.00 90.00 90.00
Space group Pm-3m (No. 221)
Inequivalent atoms, fractional coordinates:
B: 0.000 0.000 0.000 x1
Sb: 0.500 0.500 0.500 x1
S: 0.000 0.000 0.500 x3

Results
E above lowest polymorph: 685.1 meV per atom
E_tot: -20.739 eV/cell
Density: 4.83 g cm⁻³
Volume: 15.75 Å³ per atom
E_form (uncorrected): 0.489 eV per atom



Density functional theory data (PBE-GGA) for a relaxed B2SbS6 crystal.

abc: 11.884 9.927 5.989
angles: 90.00 102.29 90.00
Space group C2/c (No. 15)
Inequivalent atoms, fractional coordinates:
B: 0.225 0.071 0.329 x8
Sb: 0.000 0.371 0.250 x4
S: 0.116 0.403 0.664 x8
S: 0.144 0.209 0.132 x8
S: 0.167 0.069 0.605 x8

Results
E_tot: -170.566 eV/cell
Density: 3.23 g cm⁻³
Volume: 19.18 Å³ per atom
E_form (uncorrected): -0.044 eV per atom



Density functional theory data (PBE-GGA) for a relaxed B2SbS crystal.

abc: 4.900 4.900 9.793
angles: 90.00 90.00 90.00
Space group I-42d (No. 122)
Inequivalent atoms, fractional coordinates:
B: 0.198 0.250 0.125 x8
Sb: 0.000 0.000 0.500 x4
S: 0.000 0.000 0.000 x4

Results
E above lowest polymorph: 0.0 meV per atom
E_tot: -76.764 eV/cell
Density: 4.96 g cm⁻³
Volume: 14.70 Å³ per atom
E_form (uncorrected): 0.603 eV per atom



Density functional theory data (PBE-GGA) for a relaxed BSbS3 crystal.

abc: 6.637 10.270 8.904
angles: 90.00 90.00 90.00
Space group Ima2 (No. 46)
Inequivalent atoms, fractional coordinates:
B: 0.250 0.187 0.000 x4
Sb: 0.250 0.623 0.608 x4
S: 0.023 0.218 0.538 x8
S: 0.250 0.031 0.900 x4

Results
E above lowest polymorph: 0.0 meV per atom
E_tot: -96.660 eV/cell
Density: 2.50 g cm⁻³
Volume: 30.35 Å³ per atom
E_form (uncorrected): -0.197 eV per atom



Density functional theory data (PBE-GGA) for a relaxed BSbS crystal.

abc: 4.029 4.423 7.834
angles: 92.71 102.29 101.53
Space group P-1 (No. 2)
Inequivalent atoms, fractional coordinates:
B: 0.153 0.055 0.092 x2
Sb: 0.417 0.248 0.835 x2
S: 0.106 0.261 0.289 x2

Results
E_tot: -28.590 eV/cell
Density: 4.11 g cm⁻³
Volume: 22.18 Å³ per atom
E_form (uncorrected): 0.211 eV per atom



Density functional theory data (PBE-GGA) for a relaxed B2SbS crystal.

abc: 6.057 6.057 6.057
angles: 90.00 90.00 90.00
Space group Fm-3m (No. 225)
Inequivalent atoms, fractional coordinates:
B: 0.250 0.250 0.250 x8
Sb: 0.000 0.000 0.000 x4
S: 0.000 0.000 0.500 x4

Results
E above lowest polymorph: 1073.7 meV per atom
E_tot: -59.585 eV/cell
Density: 5.24 g cm⁻³
Volume: 13.89 Å³ per atom
E_form (uncorrected): 1.677 eV per atom



Density functional theory data (PBE-GGA) for a relaxed BSb3S crystal.

abc: 4.827 4.827 4.827
angles: 90.00 90.00 90.00
Space group Pm-3m (No. 221)
Inequivalent atoms, fractional coordinates:
B: 0.000 0.000 0.000 x1
Sb: 0.000 0.000 0.500 x3
S: 0.500 0.500 0.500 x1

Results
E above lowest polymorph: 0.0 meV per atom
E_tot: -18.860 eV/cell
Density: 6.03 g cm⁻³
Volume: 22.49 Å³ per atom
E_form (uncorrected): 0.862 eV per atom